(1)
Entry from Alexandria via LeMat-Bulk: an optimized crystal structure of ZnCu3Cl2F6 (PBE).

```
ZnCu3Cl2F6
1.0
4.8621 0.0000 0.4977
0.0000 5.8502 0.0000
-0.0920 -2.9251 6.1326
Zn Cu Cl F
1 3 2 6
direct
0.5000 0.0000 0.0000 Zn
0.0000 0.5000 0.0000 Cu
0.5000 0.5000 0.5000 Cu
0.5000 0.0000 0.5000 Cu
0.1953 0.6953 0.3906 Cl
0.8047 0.3047 0.6094 Cl
0.7443 0.3141 0.1095 F
0.2557 0.6859 0.8905 F
0.6538 0.8333 0.6667 F
0.3462 0.1667 0.3333 F
0.2557 0.2046 0.8905 F
0.7443 0.7954 0.1095 F
```

Calculated values
- Electronic total energy: -45.1 eV per cell
- ΔE_f (raw): -1.387 eV/atom
- Theoretical density: 4.2 g/cm³
- Density of states at the Fermi level: 1.3 states/eV per cell



(2)
Entry from Alexandria via LeMat-Bulk: an optimized crystal structure of FeCu2Cl (PBE).

```
FeCu2Cl
1.0
-2.8013 -0.6550 -0.0526
1.2442 -2.1206 1.4946
-0.9846 3.7215 6.0997
Fe Cu Cl
1 2 1
direct
0.5000 0.5000 0.2500 Fe
0.0000 0.0000 0.0075 Cu
0.0000 0.0000 0.4925 Cu
0.5000 0.5000 0.7500 Cl
```

Calculated values
- Electronic total energy: -17.3 eV per cell
- ΔE_f (raw): 0.305 eV/atom
- Theoretical density: 6.3 g/cm³
- Density of states at the Fermi level: 2.0 states/eV per cell



(3)
Entry from Alexandria via LeMat-Bulk: an optimized crystal structure of FeCuCl (PBE).

```
FeCuCl
1.0
-2.8561 -0.7846 -0.6273
1.8391 -1.9635 1.3887
-1.7271 2.0927 5.2461
Fe Cu Cl
1 1 1
direct
0.6667 0.3333 0.6755 Fe
0.3333 0.6667 0.3671 Cu
0.0000 0.0000 0.9574 Cl
```

Calculated values
- Electronic total energy: -13.9 eV per cell
- ΔE_f (raw): 0.169 eV/atom
- Theoretical density: 5.5 g/cm³
- Density of states at the Fermi level: 2.5 states/eV per cell